Record 1
# Dy3TmSe6

An optimized crystal structure of Dy3TmSe6 (GGA-PBE, Alexandria via LeMat-Bulk).

Formation energy (no corrections) in eV/f.u.: -18.45

abc: 11.9269 11.9269 14.2515
angles: 90.00 90.00 120.00
Space group R-3 (No. 148, hexagonal axes)
Inequivalent atoms, fractional coordinates:
Dy: 0.0528 0.7809 0.2014 [18 per cell]
Tm: 0.0000 0.0000 0.0000 [3 per cell]
Tm: 0.0000 0.0000 0.5000 [3 per cell]
Se: 0.0186 0.8086 0.3964 [18 per cell]
Se: 0.0323 0.8379 0.8766 [18 per cell]

Record 2
# Dy4TmSe5

An optimized crystal structure of Dy4TmSe5 (GGA-PBE, Alexandria via LeMat-Bulk).

Formation energy (no corrections) in eV/f.u.: -17.29

abc: 9.075 9.075 5.758
angles: 90.00 90.00 90.00
Space group I4/m (No. 87)
Inequivalent atoms, fractional coordinates:
Dy: 0.097 0.697 0.000 [8 per cell]
Tm: 0.000 0.000 0.500 [2 per cell]
Se: 0.000 0.000 0.000 [2 per cell]
Se: 0.101 0.705 0.500 [8 per cell]

Record 3
# Dy4TmSe5

An optimized crystal structure of Dy4TmSe5 (GGA-PBE, Alexandria via LeMat-Bulk).

Formation energy (no corrections) in eV/f.u.: -17.29

abc: 4.055 4.055 28.862
angles: 90.00 90.00 90.00
Space group I4/mmm (No. 139)
Inequivalent atoms, fractional coordinates:
Dy: 0.000 0.000 0.102 [4 per cell]
Dy: 0.000 0.000 0.304 [4 per cell]
Tm: 0.000 0.000 0.500 [2 per cell]
Se: 0.000 0.000 0.000 [2 per cell]
Se: 0.000 0.000 0.202 [4 per cell]
Se: 0.000 0.000 0.403 [4 per cell]

Record 4
# DyTmSe

An optimized crystal structure of DyTmSe (GGA-PBE, Alexandria via LeMat-Bulk).

Formation energy (no corrections) in eV/f.u.: -2.85

abc: 3.570 3.570 12.128
angles: 90.00 90.00 90.00
Space group I4mm (No. 107)
Inequivalent atoms, fractional coordinates:
Dy: 0.000 0.000 0.000 [2 per cell]
Tm: 0.000 0.000 0.293 [2 per cell]
Se: 0.000 0.000 0.649 [2 per cell]